Record 1
The following is a PBE calculation of a relaxed K2Ge2I5 crystal, from Alexandria via LeMat-Bulk.

The formation energy from raw total energies is -642 meV per atom.

The structure belongs to space group Ima2 (No. 46); the cell edges are 22.4174, 8.4246 and 8.6081 Å and the angles 90.00°, 90.00° and 90.00°. The inequivalent atoms are K at (0.1028, 0.0209, 0.0000), Ge at (0.0000, 0.0000, 0.4628), Ge at (0.2500, 0.5330, 0.0621), I at (0.0145, 0.7424, 0.2177), I at (0.1361, 0.0637, 0.4344) and I at (0.2500, 0.6627, 0.4530).


Record 2
The following is a PBE calculation of a relaxed LiSiS4 crystal, from Alexandria via LeMat-Bulk.

The formation energy from raw total energies is -528 meV per atom.

The structure belongs to space group C2/c (No. 15); the cell edges are 5.3965, 24.8165 and 5.5521 Å and the angles 90.00°, 92.89° and 90.00°. The inequivalent atoms are Li at (0.0000, 0.2489, 0.2500), Si at (0.0000, 0.9999, 0.2500), S at (0.1333, 0.2004, 0.8831) and S at (0.2082, 0.0478, 0.5098).


Record 3
The following is a PBE calculation of a relaxed Cs3BaO3 crystal, from Alexandria via LeMat-Bulk.

The formation energy from raw total energies is -1339 meV per atom.

The structure belongs to space group I4_132 (No. 214); the cell edges are 11.7813, 11.7813 and 11.7813 Å and the angles 90.00°, 90.00° and 90.00°. The inequivalent atoms are Cs at (0.1153, 0.3750, 0.3653), Ba at (0.1250, 0.1250, 0.1250) and O at (0.1088, 0.3588, 0.1250).


Record 4
The following is a PBE calculation of a relaxed Li4CeTl crystal, from Alexandria via LeMat-Bulk.

The value obtained for the formation energy from the elements is -39 meV per atom.

The structure belongs to space group F-43m (No. 216); the cell edges are 7.9438, 7.9438 and 7.9438 Å and the angles 90.00°, 90.00° and 90.00°. The inequivalent atoms are Li at (0.1238, 0.1238, 0.1238), Ce at (0.0000, 0.0000, 0.5000) and Tl at (0.2500, 0.2500, 0.7500).


no.,D(E_F) (states/eV per atom)
1,0.463
2,0.254
3,1.149
4,1.511